No. 1
Below is crystalline MnTlSbTe2 at its relaxed geometry, with properties calculated at the GGA-PBE level.

## Properties
Relative energy among the computed polymorphs, kJ/mol of atoms: 0.0
E_tot, eV per atom: -4.08
ΔE_f (raw), eV/atom: 0.311
Crystal system: tetragonal
V, Å³ per cell: 141.40

a b c (Å): 5.376 5.376 4.893
angles (deg): 90.00 90.00 90.00
Space group P4/mmm (No. 123)
One atom of each set of equivalent atoms:
Mn 0.000 0.000 0.000 (multiplicity 1)
Tl 0.500 0.500 0.500 (multiplicity 1)
Sb 0.000 0.000 0.500 (multiplicity 1)
Te 0.000 0.500 0.000 (multiplicity 2)



No. 2
Below is crystalline MnSbTe2W at its relaxed geometry, with properties calculated at the GGA-PBE level.

## Properties
Relative energy among the computed polymorphs, kJ/mol of atoms: 0.0
E_tot, eV per atom: -5.57
ΔE_f (raw), eV/atom: 0.937
Crystal system: tetragonal
V, Å³ per cell: 150.16

a b c (Å): 5.314 5.314 5.318
angles (deg): 90.00 90.00 90.00
Space group P4/mmm (No. 123)
One atom of each set of equivalent atoms:
Mn 0.000 0.000 0.000 (multiplicity 1)
Sb 0.500 0.500 0.000 (multiplicity 1)
Te 0.000 0.500 0.500 (multiplicity 2)
W 0.500 0.500 0.500 (multiplicity 1)



No. 3
Below is crystalline YMnSbTe2 at its relaxed geometry, with properties calculated at the GGA-PBE level.

## Properties
Relative energy among the computed polymorphs, kJ/mol of atoms: 32.1
E_tot, eV per atom: -4.84
ΔE_f (raw), eV/atom: 0.364
Crystal system: tetragonal
V, Å³ per cell: 197.16

a b c (Å): 5.800 5.800 5.861
angles (deg): 90.00 90.00 90.00
Space group P4/mmm (No. 123)
One atom of each set of equivalent atoms:
Y 0.000 0.000 0.000 (multiplicity 1)
Mn 0.500 0.500 0.500 (multiplicity 1)
Sb 0.000 0.000 0.500 (multiplicity 1)
Te 0.000 0.500 0.000 (multiplicity 2)



No. 4
Below is crystalline YMnSb2Te at its relaxed geometry, with properties calculated at the GGA-PBE level.

## Properties
Relative energy among the computed polymorphs, kJ/mol of atoms: 0.0
E_tot, eV per atom: -5.36
ΔE_f (raw), eV/atom: 0.045
Crystal system: tetragonal
V, Å³ per cell: 134.38

a b c (Å): 4.814 4.814 5.799
angles (deg): 90.00 90.00 90.00
Space group P4/mmm (No. 123)
One atom of each set of equivalent atoms:
Y 0.000 0.000 0.000 (multiplicity 1)
Mn 0.500 0.500 0.500 (multiplicity 1)
Sb 0.000 0.500 0.500 (multiplicity 2)
Te 0.500 0.500 0.000 (multiplicity 1)



No. 5
Below is crystalline YMnSb2Te at its relaxed geometry, with properties calculated at the GGA-PBE level.

## Properties
Relative energy among the computed polymorphs, kJ/mol of atoms: 49.2
E_tot, eV per atom: -4.85
ΔE_f (raw), eV/atom: 0.555
Crystal system: tetragonal
V, Å³ per cell: 193.08

a b c (Å): 5.787 5.787 5.765
angles (deg): 90.00 90.00 90.00
Space group P4/mmm (No. 123)
One atom of each set of equivalent atoms:
Y 0.000 0.000 0.000 (multiplicity 1)
Mn 0.500 0.500 0.500 (multiplicity 1)
Sb 0.000 0.500 0.000 (multiplicity 2)
Te 0.000 0.000 0.500 (multiplicity 1)



No. 6
Below is crystalline YMnSbTe2 at its relaxed geometry, with properties calculated at the GGA-PBE level.

## Properties
Relative energy among the computed polymorphs, kJ/mol of atoms: 0.0
E_tot, eV per atom: -5.18
ΔE_f (raw), eV/atom: 0.032
Crystal system: tetragonal
V, Å³ per cell: 135.00

a b c (Å): 5.326 5.326 4.758
angles (deg): 90.00 90.00 90.00
Space group P4/mmm (No. 123)
One atom of each set of equivalent atoms:
Y 0.000 0.000 0.000 (multiplicity 1)
Mn 0.500 0.500 0.500 (multiplicity 1)
Sb 0.500 0.500 0.000 (multiplicity 1)
Te 0.000 0.500 0.500 (multiplicity 2)



No. 7
Below is crystalline MnZnSb2Te at its relaxed geometry, with properties calculated at the GGA-PBE level.

## Properties
Relative energy among the computed polymorphs, kJ/mol of atoms: 0.0
E_tot, eV per atom: -3.94
ΔE_f (raw), eV/atom: 0.423
Crystal system: tetragonal
V, Å³ per cell: 134.10

a b c (Å): 5.008 5.008 5.347
angles (deg): 90.00 90.00 90.00
Space group P4/mmm (No. 123)
One atom of each set of equivalent atoms:
Mn 0.000 0.000 0.000 (multiplicity 1)
Zn 0.500 0.500 0.500 (multiplicity 1)
Sb 0.000 0.500 0.000 (multiplicity 2)
Te 0.000 0.000 0.500 (multiplicity 1)



No. 8
Below is crystalline MnZnSb2Te at its relaxed geometry, with properties calculated at the GGA-PBE level.

## Properties
Relative energy among the computed polymorphs, kJ/mol of atoms: 34.0
E_tot, eV per atom: -3.59
ΔE_f (raw), eV/atom: 0.775
Crystal system: tetragonal
V, Å³ per cell: 144.18

a b c (Å): 5.164 5.164 5.406
angles (deg): 90.00 90.00 90.00
Space group P4/mmm (No. 123)
One atom of each set of equivalent atoms:
Mn 0.000 0.000 0.000 (multiplicity 1)
Zn 0.500 0.500 0.500 (multiplicity 1)
Sb 0.000 0.500 0.500 (multiplicity 2)
Te 0.500 0.500 0.000 (multiplicity 1)



No. 9
Below is crystalline ZrMnSbTe2 at its relaxed geometry, with properties calculated at the GGA-PBE level.

## Properties
Relative energy among the computed polymorphs, kJ/mol of atoms: 0.0
E_tot, eV per atom: -5.26
ΔE_f (raw), eV/atom: 0.362
Crystal system: tetragonal
V, Å³ per cell: 174.48

a b c (Å): 5.570 5.570 5.624
angles (deg): 90.00 90.00 90.00
Space group P4/mmm (No. 123)
One atom of each set of equivalent atoms:
Zr 0.000 0.000 0.000 (multiplicity 1)
Mn 0.500 0.500 0.500 (multiplicity 1)
Sb 0.000 0.000 0.500 (multiplicity 1)
Te 0.000 0.500 0.000 (multiplicity 2)



No. 10
Below is crystalline ThMnSb3 at its relaxed geometry, with properties calculated at the GGA-PBE level.

## Properties
E_tot, eV per atom: -6.24
ΔE_f (raw), eV/atom: -0.453
Crystal system: orthorhombic
V, Å³ per cell: 502.44

a b c (Å): 13.016 6.316 6.112
angles (deg): 90.00 90.00 90.00
Space group Pbcm (No. 57)
One atom of each set of equivalent atoms:
Th 0.192 0.003 0.250 (multiplicity 4)
Mn 0.409 0.750 0.000 (multiplicity 4)
Sb 0.001 0.750 0.000 (multiplicity 4)
Sb 0.271 0.509 0.250 (multiplicity 4)
Sb 0.437 0.098 0.250 (multiplicity 4)



No. 11
Below is crystalline ThMnSb2 at its relaxed geometry, with properties calculated at the GGA-PBE level.

## Properties
E_tot, eV per atom: -6.11
ΔE_f (raw), eV/atom: 0.100
Crystal system: trigonal
V, Å³ per cell: 308.55

a b c (Å): 3.4092 3.4092 30.6540
angles (deg): 90.00 90.00 120.00
Space group R-3m (No. 166, hexagonal axes)
One atom of each set of equivalent atoms:
Th 0.0000 0.0000 0.0000 (multiplicity 3)
Mn 0.0000 0.0000 0.5000 (multiplicity 3)
Sb 0.0000 0.0000 0.1068 (multiplicity 6)



No. 12
Below is crystalline TiMnSb4 at its relaxed geometry, with properties calculated at the GGA-PBE level.

## Properties
E_tot, eV per atom: -5.59
ΔE_f (raw), eV/atom: -0.001
Crystal system: monoclinic
V, Å³ per cell: 137.13

a b c (Å): 5.922 3.609 6.422
angles (deg): 90.00 92.16 90.00
Space group P2/m (No. 10)
One atom of each set of equivalent atoms:
Ti 0.000 0.000 0.000 (multiplicity 1)
Mn 0.500 0.500 0.000 (multiplicity 1)
Sb 0.179 0.500 0.292 (multiplicity 2)
Sb 0.339 0.000 0.716 (multiplicity 2)



No. 13
Below is crystalline TiMn2Sb at its relaxed geometry, with properties calculated at the GGA-PBE level.

## Properties
E_tot, eV per atom: -7.28
ΔE_f (raw), eV/atom: 0.310
Crystal system: tetragonal
V, Å³ per cell: 286.38

a b c (Å): 3.925 3.925 18.585
angles (deg): 90.00 90.00 90.00
Space group I-42d (No. 122)
One atom of each set of equivalent atoms:
Ti 0.000 0.000 0.000 (multiplicity 4)
Mn 0.245 0.250 0.125 (multiplicity 8)
Sb 0.000 0.000 0.500 (multiplicity 4)



No. 14
Below is crystalline Ti8MnSb2 at its relaxed geometry, with properties calculated at the GGA-PBE level.

## Properties
E_tot, eV per atom: -7.50
ΔE_f (raw), eV/atom: -0.172
Crystal system: monoclinic
V, Å³ per cell: 387.36

a b c (Å): 15.313 4.630 5.731
angles (deg): 90.00 107.57 90.00
Space group C2/m (No. 12)
One atom of each set of equivalent atoms:
Ti 0.010 0.000 0.248 (multiplicity 4)
Ti 0.090 0.500 0.751 (multiplicity 4)
Ti 0.137 0.500 0.305 (multiplicity 4)
Ti 0.215 0.000 0.132 (multiplicity 4)
Mn 0.000 0.500 0.000 (multiplicity 2)
Sb 0.172 0.000 0.626 (multiplicity 4)



No. 15
Below is crystalline TiMn2Sb at its relaxed geometry, with properties calculated at the GGA-PBE level.

## Properties
E_tot, eV per atom: -7.69
ΔE_f (raw), eV/atom: -0.106
Crystal system: tetragonal
V, Å³ per cell: 56.71

a b c (Å): 4.220 4.220 3.185
angles (deg): 90.00 90.00 90.00
Space group P4/mmm (No. 123)
One atom of each set of equivalent atoms:
Ti 0.000 0.000 0.000 (multiplicity 1)
Mn 0.000 0.500 0.500 (multiplicity 2)
Sb 0.500 0.500 0.000 (multiplicity 1)



No. 16
Below is crystalline TiMnSb2 at its relaxed geometry, with properties calculated at the GGA-PBE level.

## Properties
E_tot, eV per atom: -6.04
ΔE_f (raw), eV/atom: 0.284
Crystal system: tetragonal
V, Å³ per cell: 493.48

a b c (Å): 6.294 6.294 12.456
angles (deg): 90.00 90.00 90.00
Space group I-42d (No. 122)
One atom of each set of equivalent atoms:
Ti 0.000 0.000 0.000 (multiplicity 4)
Mn 0.000 0.000 0.500 (multiplicity 4)
Sb 0.248 0.250 0.125 (multiplicity 8)



No. 17
Below is crystalline TiMn3Sb at its relaxed geometry, with properties calculated at the GGA-PBE level.

## Properties
Relative energy among the computed polymorphs, kJ/mol of atoms: 15.3
E_tot, eV per atom: -6.84
ΔE_f (raw), eV/atom: 1.067
Crystal system: cubic
V, Å³ per cell: 114.83

a b c (Å): 4.861 4.861 4.861
angles (deg): 90.00 90.00 90.00
Space group Pm-3m (No. 221)
One atom of each set of equivalent atoms:
Ti 0.000 0.000 0.000 (multiplicity 1)
Mn 0.000 0.500 0.500 (multiplicity 3)
Sb 0.500 0.500 0.500 (multiplicity 1)



No. 18
Below is crystalline TiMn3Sb at its relaxed geometry, with properties calculated at the GGA-PBE level.

## Properties
Relative energy among the computed polymorphs, kJ/mol of atoms: 0.0
E_tot, eV per atom: -7.00
ΔE_f (raw), eV/atom: 0.908
Crystal system: cubic
V, Å³ per cell: 94.30

a b c (Å): 4.552 4.552 4.552
angles (deg): 90.00 90.00 90.00
Space group Pm-3m (No. 221)
One atom of each set of equivalent atoms:
Ti 0.000 0.000 0.000 (multiplicity 1)
Mn 0.000 0.000 0.500 (multiplicity 3)
Sb 0.500 0.500 0.500 (multiplicity 1)



No. 19
Below is crystalline TiMnSb2 at its relaxed geometry, with properties calculated at the GGA-PBE level.

## Properties
E_tot, eV per atom: -6.15
ΔE_f (raw), eV/atom: 0.181
Crystal system: cubic
V, Å³ per cell: 289.80

a b c (Å): 6.618 6.618 6.618
angles (deg): 90.00 90.00 90.00
Space group Fm-3m (No. 225)
One atom of each set of equivalent atoms:
Ti 0.000 0.000 0.000 (multiplicity 4)
Mn 0.000 0.000 0.500 (multiplicity 4)
Sb 0.250 0.250 0.250 (multiplicity 8)



No. 20
Below is crystalline TiMnSb2 at its relaxed geometry, with properties calculated at the GGA-PBE level.

## Properties
E_tot, eV per atom: -6.35
ΔE_f (raw), eV/atom: -0.024
Crystal system: trigonal
V, Å³ per cell: 266.31

a b c (Å): 3.8759 3.8759 20.4699
angles (deg): 90.00 90.00 120.00
Space group R-3m (No. 166, hexagonal axes)
One atom of each set of equivalent atoms:
Ti 0.0000 0.0000 0.0000 (multiplicity 3)
Mn 0.0000 0.0000 0.5000 (multiplicity 3)
Sb 0.0000 0.0000 0.2481 (multiplicity 6)



No. 21
Below is crystalline Ti2Mn2Sb at its relaxed geometry, with properties calculated at the GGA-PBE level.

## Properties
E_tot, eV per atom: -7.74
ΔE_f (raw), eV/atom: -0.093
Crystal system: tetragonal
V, Å³ per cell: 160.05

a b c (Å): 6.927 6.927 3.336
angles (deg): 90.00 90.00 90.00
Space group P4/mbm (No. 127)
One atom of each set of equivalent atoms:
Ti 0.173 0.327 0.000 (multiplicity 4)
Mn 0.124 0.624 0.500 (multiplicity 4)
Sb 0.000 0.000 0.500 (multiplicity 2)



No. 22
Below is crystalline Ti12MnSb6 at its relaxed geometry, with properties calculated at the GGA-PBE level.

## Properties
E_tot, eV per atom: -6.89
ΔE_f (raw), eV/atom: -0.118
Crystal system: trigonal
V, Å³ per cell: 1160.61

a b c (Å): 11.5349 11.5349 10.0723
angles (deg): 90.00 90.00 120.00
Space group R-3 (No. 148, hexagonal axes)
One atom of each set of equivalent atoms:
Ti 0.0234 0.1579 0.3759 (multiplicity 18)
Ti 0.0742 0.1873 0.8739 (multiplicity 18)
Mn 0.0000 0.0000 0.0000 (multiplicity 3)
Sb 0.0331 0.2943 0.6305 (multiplicity 18)



No. 23
Below is crystalline Ti2MnZnSb at its relaxed geometry, with properties calculated at the GGA-PBE level.

## Properties
E_tot, eV per atom: -5.73
ΔE_f (raw), eV/atom: 0.345
Crystal system: tetragonal
V, Å³ per cell: 97.32

a b c (Å): 4.503 4.503 4.801
angles (deg): 90.00 90.00 90.00
Space group P4/mmm (No. 123)
One atom of each set of equivalent atoms:
Ti 0.000 0.500 0.000 (multiplicity 2)
Mn 0.000 0.000 0.000 (multiplicity 1)
Zn 0.500 0.500 0.500 (multiplicity 1)
Sb 0.000 0.000 0.500 (multiplicity 1)



No. 24
Below is crystalline Zr2TiMnSb at its relaxed geometry, with properties calculated at the GGA-PBE level.

## Properties
E_tot, eV per atom: -6.71
ΔE_f (raw), eV/atom: 0.945
Crystal system: tetragonal
V, Å³ per cell: 133.23

a b c (Å): 5.302 5.302 4.739
angles (deg): 90.00 90.00 90.00
Space group P4/mmm (No. 123)
One atom of each set of equivalent atoms:
Zr 0.000 0.500 0.000 (multiplicity 2)
Ti 0.000 0.000 0.500 (multiplicity 1)
Mn 0.500 0.500 0.500 (multiplicity 1)
Sb 0.500 0.500 0.000 (multiplicity 1)



No. 25
Below is crystalline ZrTi2MnSb at its relaxed geometry, with properties calculated at the GGA-PBE level.

## Properties
E_tot, eV per atom: -6.55
ΔE_f (raw), eV/atom: 0.981
Crystal system: tetragonal
V, Å³ per cell: 112.58

a b c (Å): 4.949 4.949 4.597
angles (deg): 90.00 90.00 90.00
Space group P4/mmm (No. 123)
One atom of each set of equivalent atoms:
Zr 0.000 0.000 0.000 (multiplicity 1)
Ti 0.000 0.500 0.500 (multiplicity 2)
Mn 0.500 0.500 0.000 (multiplicity 1)
Sb 0.500 0.500 0.500 (multiplicity 1)



No. 26
Below is crystalline Mn2TlSb at its relaxed geometry, with properties calculated at the GGA-PBE level.

## Properties
Relative energy among the computed polymorphs, kJ/mol of atoms: 6.4
E_tot, eV per atom: -5.82
ΔE_f (raw), eV/atom: 0.391
Crystal system: monoclinic
V, Å³ per cell: 82.30

a b c (Å): 3.555 3.442 6.842
angles (deg): 90.00 100.55 90.00
Space group P2/m (No. 10)
One atom of each set of equivalent atoms:
Mn 0.045 0.000 0.203 (multiplicity 2)
Tl 0.500 0.500 0.500 (multiplicity 1)
Sb 0.500 0.500 0.000 (multiplicity 1)